DFT (PBE) results for crystalline Ho2Tm2Tl3 at its relaxed geometry.

Geometry as POSCAR:
```
Ho2Tm2Tl3
1.0
3.480 0.000 0.000
0.000 31.752 0.000
0.000 0.000 3.541
Ho Tm Tl
4 4 6
Cartesian
0.000 2.172 0.000
0.000 29.580 0.000
1.740 13.704 0.000
1.740 18.048 0.000
0.000 6.426 0.000
0.000 25.326 0.000
1.740 9.450 0.000
1.740 22.302 0.000
0.000 11.537 1.771
0.000 15.876 1.771
0.000 20.215 1.771
1.740 0.000 1.771
1.740 4.339 1.771
1.740 27.413 1.771
```

Values from the calculation:
- volume (Å³ per cell) = 391
- mass density (g cm⁻³) = 10.87
- formation energy from the elements (eV/atom) = -0.191
- space-group type = Cmmm (65)
- density of states at the Fermi level (states/eV/cell) = 13.657
- distance to the lowest polymorph of the same formula (meV per atom) = 0